The following is a DFT calculation (PBE) of a relaxed K2Tm2SbS6 crystal.

## Properties
ρ = 4.0 g/cm³
Density of states at the Fermi level = 0.410 states/eV per atom
Uncorrected formation energy = -1.398 eV/atom

Unit cell a=6.8079 b=6.8079 c=7.8942 alpha=98.24 beta=98.24 gamma=119.92
Fractional coordinates of all 11 atoms:
K 0.8327 0.1673 0.0000
K 0.1673 0.8327 0.0000
Tm 0.3331 0.6669 0.5000
Tm 0.6669 0.3331 0.5000
Sb 0.0000 0.0000 0.5000
S 0.7388 0.7388 0.6932
S 0.0638 0.3924 0.6937
S 0.2612 0.2612 0.3068
S 0.3924 0.0638 0.6937
S 0.9362 0.6076 0.3063
S 0.6076 0.9362 0.3063